Entry 1:
The following is a PBE calculation of an optimized crystal structure of Er3Mn5N12, from Alexandria.

Cell lengths 12.1476, 12.1476, 12.1476 Å; angles 90.00, 90.00, 90.00 degrees
With the nearest neighbours (Å) after each atom.
Space group Ia-3d (No. 230)
Symmetry-distinct sites (fractional):
Er  0.0000  0.2500  0.1250 x24  8 N 2.38-2.49
Mn  0.0000  0.0000  0.0000 x16  6 N 1.98
Mn  0.0000  0.2500  0.3750 x24  4 N 1.72
N  0.0365  0.0501  0.6510 x96  1 Mn 1.72

## Properties
Final energy in eV/atom: -8.471
E_form (uncorrected) in eV/atom: -0.499

***

Entry 2:
The following is a PBE calculation of an optimized crystal structure of Cs12Rb6Ag, from Alexandria.

Cell lengths 17.8074, 17.8074, 21.7136 Å; angles 90.00, 90.00, 120.00 degrees
With the nearest neighbours (Å) after each atom.
Space group R-3 (No. 148, hexagonal axes)
Symmetry-distinct sites (fractional):
Cs  0.0450  0.5949  0.2137 x18  6 Cs 5.06-5.55, 5 Rb 5.10-5.51
Cs  0.0650  0.2025  0.9071 x18  1 Ag 3.77
Rb  0.0502  0.8668  0.3060 x18  6 Cs 4.96-5.51, 3 Rb 5.00-5.06
Ag  0.0000  0.0000  0.0000 x3  6 Cs 3.77

## Properties
Final energy in eV/atom: -0.959
Energy of formation from the pure elements in eV/atom: 0.036

***

Entry 3:
The following is a PBE calculation of an optimized crystal structure of TlCdW3, from Alexandria.

Cell lengths 4.8914, 4.8914, 4.8914 Å; angles 90.00, 90.00, 90.00 degrees
With the nearest neighbours (Å) after each atom.
Space group Pm-3m (No. 221)
Symmetry-distinct sites (fractional):
Tl  0.0000  0.0000  0.0000 x1  12 W 3.46
Cd  0.5000  0.5000  0.5000 x1  6 W 2.45
W  0.0000  0.5000  0.5000 x3  2 Cd 2.45

## Properties
Relative energy among the computed polymorphs in meV per atom: 0.0
Final energy in eV/atom: -5.504
Energy of formation from the pure elements in eV/atom: 2.924

***

Number 3 is which compound?
TlCdW3

***

Look up the final energy of the first one.
-8.471 eV/atom

***

The highest final energy belongs to which entry?
Cs12Rb6Ag

***

The lowest final energy belongs to which entry?
Er3Mn5N12